## Zr2TiIn (PBE)

Data for a geometry-optimized Zr2TiIn structure.

For the final energy, the calculation gives -6.62 eV per atom. The magnetic moment is 0.000 Bohr magnetons per cell. The density of states at the Fermi level is 0.8749 states/eV/atom.

It has space group I-42d (No. 122), with a = 7.849 Å, b = 7.849 Å, c = 5.794 Å, α = 90.00°, β = 90.00° and γ = 90.00°. The inequivalent atoms are Zr at (0.245, 0.750, 0.125), Ti at (0.000, 0.000, 0.000) and In at (0.000, 0.000, 0.500).